Density functional theory data (PBE) for an optimized crystal structure of K2RbNp3Se8.

energy relative to the elements, uncorrected: -1.1129 eV per atom
M_tot: 8.00 μB per formula unit

Unit cell a=8.5424 b=8.5424 c=9.4257 alpha=63.05 beta=63.05 gamma=60.00
Last column: nearest neighbours and their distance in Å.
Element x y z (fractional)
K: 0.4995 0.4995 0.5015  6 Se 3.37
Se: 0.6956 0.2443 0.8159  2 Np 2.78
Se: 0.7273 0.7273 0.8181  3 Np 2.87
Se: 0.2443 0.6956 0.8159  2 Np 2.78
Se: 0.7538 0.7538 0.1841  2 Np 2.77
Se: 0.7538 0.3082 0.1841  2 Np 2.77
Se: 0.3082 0.7538 0.1841  2 Np 2.77
K: 0.1320 0.1320 0.6039  4 Se 3.20-3.33
Se: 0.2701 0.2701 0.1897  3 Np 2.89
Se: 0.2443 0.2443 0.8159  2 Np 2.78
Rb: 0.8646 0.8646 0.4063  4 Se 3.26-3.31
Np: 0.0005 0.4994 0.0008  6 Se 2.77-2.89
Np: 0.4994 0.4994 0.0008  6 Se 2.77-2.89
Np: 0.4994 0.0005 0.0008  6 Se 2.77-2.89